First-principles (GGA-PBE) data for a relaxed Cu2AsIr crystal, as listed in Alexandria via LeMat-Bulk.

abc: 3.3275 3.3275 5.0524
angles: 90.00 90.00 90.00
Fractional coordinates of all 4 atoms:
As 0.5000 0.5000 0.7500
Cu 0.0000 0.0000 0.9988
Cu 0.0000 0.0000 0.5012
Ir 0.5000 0.5000 0.2500

- Energy relative to the elements: 0.177 eV/atom
- DOS at the Fermi energy: 2.498 states/eV/f.u.
- VASP energy: -21.0 eV for the cell shown

=====

First-principles (GGA-PBE) data for a relaxed Li4ThAs3O12 crystal, as listed in Alexandria via LeMat-Bulk.

abc: 6.3843 6.3843 6.3843
angles: 109.47 109.47 109.47
Site moments in Bohr magnetons follow the coordinates.
Fractional coordinates of all 20 atoms:
Li 0.5000 0.0000 0.0000  0.00
Li 0.5000 0.5000 0.5000  0.00
Li 0.0000 0.5000 0.0000  0.00
Li 0.0000 0.0000 0.5000  0.00
Th 0.0000 0.0000 0.0000  0.00
As 0.0000 0.5000 0.5000  -0.01
As 0.5000 0.5000 0.0000  -0.01
As 0.5000 0.0000 0.5000  -0.01
O 0.3219 0.8373 0.1592  0.06
O 0.6781 0.1627 0.8408  0.06
O 0.6781 0.8373 0.5153  0.06
O 0.8408 0.6781 0.1627  0.06
O 0.8373 0.1592 0.3219  0.06
O 0.1627 0.4847 0.3219  0.06
O 0.4847 0.3219 0.1627  0.06
O 0.1627 0.8408 0.6781  0.06
O 0.3219 0.1627 0.4847  0.06
O 0.1592 0.3219 0.8373  0.06
O 0.8373 0.5153 0.6781  0.06
O 0.5153 0.6781 0.8373  0.06

- Formation energy without anion corrections: -1581 meV/atom
- DOS at the Fermi energy: 11.026 states/eV/f.u.
- VASP energy: -120.1 eV for the cell shown

=====

The highest DOS at the Fermi energy belongs to which entry?
Li4ThAs3O12

=====

Which value of DOS at the Fermi energy does entry 1 give?
2.498 states/eV/f.u.